[1]
DFT (PBE) results for a relaxed structure of Al2ReW.

Values from the calculation:
density of states at the Fermi level = 0.88 states/eV per atom
E_tot = -32.534 eV for the cell shown
formation energy = 0.088 eV/atom
distance to the lowest polymorph of the same formula = 33.27 kJ/mol of atoms

Unit cell a=2.741 b=4.094 c=5.401 alpha=90.00 beta=90.00 gamma=90.00
Space group Pmmm (No. 47)
Asymmetric unit:
Al (0.000, 0.000, 0.246) x2
Re (0.500, 0.500, 0.000) x1
W (0.500, 0.500, 0.500) x1


[2]
DFT (PBE) results for a relaxed structure of Li2TlGeBr6.

Values from the calculation:
density of states at the Fermi level = 0.14 states/eV per atom
raw formation energy = -924 meV per atom
E_tot = -120.345 eV for the cell shown

Unit cell a=15.333 b=12.665 c=8.297 alpha=90.00 beta=116.17 gamma=90.00
Space group C2/c (No. 15)
Asymmetric unit:
Li (0.077, 0.062, 0.160) x8
Tl (0.000, 0.328, 0.250) x4
Ge (0.000, 0.302, 0.750) x4
Br (0.105, 0.420, 0.684) x8
Br (0.108, 0.088, 0.485) x8
Br (0.132, 0.234, 0.053) x8


[3]
DFT (PBE) results for a relaxed structure of Cs2PPdF6.

Values from the calculation:
density of states at the Fermi level = 0.26 states/eV per atom
raw formation energy = -1978 meV per atom
E_tot = -86.630 eV for the cell shown

Unit cell a=6.329 b=6.329 c=9.151 alpha=90.00 beta=90.00 gamma=90.00
Space group I4/mmm (No. 139)
Asymmetric unit:
Cs (0.000, 0.500, 0.250) x4
P (0.000, 0.000, 0.000) x2
Pd (0.000, 0.000, 0.500) x2
F (0.000, 0.000, 0.208) x4
F (0.214, 0.214, 0.000) x8